[1]
{"formula": "CuAgRh2N", "functional": "PBE", "state": "relaxed", "lattice_angstrom": [[4.0194, 0.0000, 0.0000], [0.0000, 4.0194, 0.0000], [0.0000, 0.0000, 4.1412]], "species": ["Cu", "Ag", "Rh", "Rh", "N"], "fractional_positions": [[0.0000, 0.0000, 0.0000], [0.5000, 0.5000, 0.0000], [0.0000, 0.5000, 0.5000], [0.5000, 0.0000, 0.5000], [0.0000, 0.0000, 0.5000]], "e_form_raw_ev_per_atom": 0.21, "total_magnetization_mub_per_fu": 0.0, "dos_at_fermi_per_ev_fu": 2.88}

***

[2]
{"formula": "LiInAs", "functional": "PBE", "state": "relaxed", "lattice_angstrom": [[0.0000, 2.3781, 5.8341], [2.3742, 0.0000, 5.8341], [2.3742, 2.3781, 0.0000]], "species": ["Li", "In", "As"], "fractional_positions": [[0.0000, 0.0000, 0.0000], [0.7150, 0.7150, 0.2850], [0.3730, 0.3730, 0.6270]], "total_magnetization_mub_per_fu": 0.0, "de_polymorph_mev_per_atom": 60.9, "dos_at_fermi_per_ev_fu": 1.25, "delta_e_f_ev_per_atom": -0.153}

***

[3]
{"formula": "NaCe2Dy3Te6", "functional": "PBE", "state": "relaxed", "lattice_angstrom": [[9.6919, -2.1912, 0.0000], [9.6919, 2.1912, 0.0000], [-2.1770, 0.0000, 8.6842]], "species": ["Na", "Ce", "Ce", "Dy", "Dy", "Dy", "Te", "Te", "Te", "Te", "Te", "Te"], "fractional_positions": [[0.0000, 0.0000, 0.0000], [0.3308, 0.3308, 0.6618], [0.6692, 0.6692, 0.3382], [0.0000, 0.0000, 0.5000], [0.3332, 0.3332, 0.1721], [0.6668, 0.6668, 0.8279], [0.1629, 0.1629, 0.5885], [0.1675, 0.1675, 0.0746], [0.4984, 0.4984, 0.2538], [0.5016, 0.5016, 0.7462], [0.8325, 0.8325, 0.9254], [0.8371, 0.8371, 0.4115]], "e_form_raw_ev_per_atom": -1.33, "total_magnetization_mub_per_fu": 2.5, "dos_at_fermi_per_ev_fu": 16.72}

***

[4]
{"formula": "ZrTi2Cu", "functional": "PBE", "state": "relaxed", "lattice_angstrom": [[3.0391, 0.0000, 0.0000], [0.0000, 3.0391, 0.0000], [0.0000, 0.0000, 7.5270]], "species": ["Zr", "Ti", "Ti", "Cu"], "fractional_positions": [[0.0000, 0.0000, 0.0000], [0.5000, 0.5000, 0.2822], [0.5000, 0.5000, 0.7178], [0.0000, 0.0000, 0.5000]], "total_magnetization_mub_per_fu": 0.0, "de_polymorph_mev_per_atom": 0.0, "dos_at_fermi_per_ev_fu": 4.03, "delta_e_f_ev_per_atom": -0.017}

***

[5]
{"formula": "LiPrErOs", "functional": "PBE", "state": "relaxed", "lattice_angstrom": [[0.0000, 3.5194, 3.5194], [3.5194, 0.0000, 3.5194], [3.5194, 3.5194, 0.0000]], "species": ["Li", "Pr", "Er", "Os"], "fractional_positions": [[0.0000, 0.0000, 0.0000], [0.2500, 0.2500, 0.2500], [0.7500, 0.7500, 0.7500], [0.5000, 0.5000, 0.5000]], "total_magnetization_mub_per_fu": 0.0, "dos_at_fermi_per_ev_fu": 2.30, "delta_e_f_ev_per_atom": -0.140}

***

[6]
{"formula": "TbPm2Te2N2", "functional": "PBE", "state": "relaxed", "lattice_angstrom": [[-2.2163, 2.2163, 8.1441], [2.2163, -2.2163, 8.1441], [2.2163, 2.2163, -8.1441]], "species": ["Tb", "Pm", "Pm", "Te", "Te", "N", "N"], "fractional_positions": [[0.0000, 0.0000, 0.0000], [0.3967, 0.3967, 0.0000], [0.6033, 0.6033, 0.0000], [0.1874, 0.1874, 0.0000], [0.8126, 0.8126, 0.0000], [0.0000, 0.5000, 0.5000], [0.5000, 0.0000, 0.5000]], "e_form_raw_ev_per_atom": -1.18, "total_magnetization_mub_per_fu": 0.0, "dos_at_fermi_per_ev_fu": 2.86}

***

[7]
{"formula": "Cs2ZnCdAu2", "functional": "PBE", "state": "relaxed", "lattice_angstrom": [[-3.8462, 7.4434, 3.5508], [3.8462, -7.4434, 3.5508], [3.8462, 7.4434, -3.5508]], "species": ["Cs", "Cs", "Cs", "Cs", "Zn", "Zn", "Cd", "Cd", "Au", "Au", "Au", "Au"], "fractional_positions": [[0.1761, 0.2308, 0.4070], [0.3239, 0.7308, 0.0547], [0.6761, 0.2692, 0.9453], [0.8239, 0.7692, 0.5930], [0.2500, 0.2500, 0.0000], [0.7500, 0.7500, 0.0000], [0.2500, 0.7500, 0.5000], [0.7500, 0.2500, 0.5000], [0.0638, 0.7709, 0.8346], [0.4362, 0.2709, 0.7071], [0.5638, 0.7291, 0.2929], [0.9362, 0.2291, 0.1654]], "total_magnetization_mub_per_fu": 0.0, "dos_at_fermi_per_ev_fu": 2.20, "delta_e_f_ev_per_atom": -0.227}

***

[8]
{"formula": "BaLi2PmSb2", "functional": "PBE", "state": "relaxed", "lattice_angstrom": [[4.8272, 0.0000, 0.0000], [-2.4136, 4.1805, 0.0000], [0.0000, 0.0000, 8.3076]], "species": ["Ba", "Li", "Li", "Pm", "Sb", "Sb"], "fractional_positions": [[0.0000, 0.0000, 0.0000], [0.3333, 0.6667, 0.6959], [0.6667, 0.3333, 0.3041], [0.0000, 0.0000, 0.5000], [0.3333, 0.6667, 0.2812], [0.6667, 0.3333, 0.7188]], "e_form_raw_ev_per_atom": -0.89, "total_magnetization_mub_per_fu": 0.0, "dos_at_fermi_per_ev_fu": 2.93}

***

[9]
{"formula": "AcZnNi6Ge", "functional": "PBE", "state": "relaxed", "lattice_angstrom": [[-2.6352, 3.7952, 6.8491], [2.6352, -3.7952, 6.8491], [2.6352, 3.7952, -6.8491]], "species": ["Ac", "Ac", "Zn", "Zn", "Ni", "Ni", "Ni", "Ni", "Ni", "Ni", "Ni", "Ni", "Ni", "Ni", "Ni", "Ni", "Ge", "Ge"], "fractional_positions": [[0.2502, 0.0002, 0.2500], [0.7498, 0.9998, 0.7500], [0.0000, 0.5000, 0.5000], [0.5000, 0.5000, 0.0000], [0.1396, 0.3896, 0.7500], [0.1845, 0.4151, 0.2814], [0.1845, 0.9031, 0.7695], [0.3663, 0.0969, 0.7814], [0.3663, 0.5849, 0.2695], [0.4966, 0.2466, 0.2500], [0.5034, 0.7534, 0.7500], [0.6337, 0.4151, 0.7305], [0.6337, 0.9031, 0.2186], [0.8155, 0.0969, 0.2305], [0.8155, 0.5849, 0.7186], [0.8604, 0.6104, 0.2500], [0.0000, 0.0000, 0.5000], [0.0000, 0.5000, 0.0000]], "total_magnetization_mub_per_fu": 0.0, "dos_at_fermi_per_ev_fu": 7.38, "delta_e_f_ev_per_atom": -0.118}

***

[10]
{"formula": "Be3ZnAg", "functional": "PBE", "state": "relaxed", "lattice_angstrom": [[4.1417, 0.0000, 0.0000], [0.0000, 4.1417, 0.0000], [0.0000, 0.0000, 4.1417]], "species": ["Be", "Be", "Be", "Zn", "Ag"], "fractional_positions": [[0.0000, 0.0000, 0.5000], [0.0000, 0.5000, 0.0000], [0.5000, 0.0000, 0.0000], [0.0000, 0.0000, 0.0000], [0.5000, 0.5000, 0.5000]], "total_magnetization_mub_per_fu": 0.0, "de_polymorph_mev_per_atom": 0.0, "dos_at_fermi_per_ev_fu": 0.90, "delta_e_f_ev_per_atom": 0.768}

***

[11]
{"formula": "Cs3Tl2Cl7", "functional": "PBE", "state": "relaxed", "lattice_angstrom": [[-2.7899, 2.7899, 14.3122], [2.7899, -2.7899, 14.3122], [2.7899, 2.7899, -14.3122]], "species": ["Cs", "Cs", "Cs", "Tl", "Tl", "Cl", "Cl", "Cl", "Cl", "Cl", "Cl", "Cl"], "fractional_positions": [[0.0000, 0.0000, 0.0000], [0.1820, 0.1820, 0.0000], [0.8180, 0.8180, 0.0000], [0.4006, 0.4006, 0.0000], [0.5994, 0.5994, 0.0000], [0.0970, 0.5970, 0.5000], [0.3028, 0.3028, 0.0000], [0.4030, 0.9030, 0.5000], [0.5000, 0.5000, 0.0000], [0.5970, 0.0970, 0.5000], [0.6972, 0.6972, 0.0000], [0.9030, 0.4030, 0.5000]], "e_form_raw_ev_per_atom": -1.41, "total_magnetization_mub_per_fu": 0.0, "de_polymorph_mev_per_atom": 0.0, "dos_at_fermi_per_ev_fu": 2.59}

***

[12]
{"formula": "SrZr2Pt", "functional": "PBE", "state": "relaxed", "lattice_angstrom": [[0.0000, 3.5110, 3.5110], [3.5110, 0.0000, 3.5110], [3.5110, 3.5110, 0.0000]], "species": ["Sr", "Zr", "Zr", "Pt"], "fractional_positions": [[0.0000, 0.0000, 0.0000], [0.2500, 0.2500, 0.2500], [0.7500, 0.7500, 0.7500], [0.5000, 0.5000, 0.5000]], "total_magnetization_mub_per_fu": 0.0, "de_polymorph_mev_per_atom": 446.3, "dos_at_fermi_per_ev_fu": 4.85, "delta_e_f_ev_per_atom": 0.081}